<A>
A plane-wave DFT calculation with PBE was carried out for a relaxed structure of Tl2Rh3.

Cell lengths 9.301, 9.301, 9.301 Å; angles 160.78, 160.78, 27.32 degrees
Positions (direct):
Tl: 0.102 0.102 0.000
Tl: 0.898 0.898 0.000
Rh: 0.295 0.295 0.000
Rh: 0.500 0.500 0.000
Rh: 0.705 0.705 0.000

=====

<B>
A plane-wave DFT calculation with PBE was carried out for a relaxed structure of Tl2Rh3.

Cell lengths 10.677, 10.677, 10.677 Å; angles 163.80, 163.80, 22.99 degrees
Positions (direct):
Tl: 0.179 0.179 0.000
Tl: 0.821 0.821 0.000
Rh: 0.000 0.000 0.000
Rh: 0.422 0.422 0.000
Rh: 0.578 0.578 0.000

=====

Least stable of them? <B>.

=====

<A>
A plane-wave DFT calculation with PBE was carried out for a relaxed structure of Tl2Rh3.

Cell lengths 5.727, 5.727, 5.727 Å; angles 46.22, 46.22, 46.22 degrees
Positions (direct):
Tl: 0.099 0.099 0.099
Tl: 0.901 0.901 0.901
Rh: 0.307 0.307 0.307
Rh: 0.500 0.500 0.500
Rh: 0.693 0.693 0.693

=====

<B>
A plane-wave DFT calculation with PBE was carried out for a relaxed structure of Tl2Rh3.

Cell lengths 4.499, 4.499, 5.570 Å; angles 90.00, 90.00, 120.00 degrees
Positions (direct):
Tl: 0.333 0.667 0.307
Tl: 0.667 0.333 0.693
Rh: 0.000 0.000 0.500
Rh: 0.333 0.667 0.823
Rh: 0.667 0.333 0.177

=====

<C>
A plane-wave DFT calculation with PBE was carried out for a relaxed structure of Tl2Rh3.

Cell lengths 4.947, 4.947, 6.378 Å; angles 127.75, 127.75, 49.09 degrees
Positions (direct):
Tl: 0.085 0.085 0.295
Tl: 0.915 0.915 0.705
Rh: 0.300 0.300 0.903
Rh: 0.500 0.500 0.500
Rh: 0.700 0.700 0.097

=====

<D>
A plane-wave DFT calculation with PBE was carried out for a relaxed structure of Tl2Rh3.

Cell lengths 6.793, 6.793, 3.051 Å; angles 90.00, 90.00, 140.19 degrees
Positions (direct):
Tl: 0.126 0.874 0.000
Tl: 0.874 0.126 0.000
Rh: 0.319 0.681 0.500
Rh: 0.500 0.500 0.000
Rh: 0.681 0.319 0.500

=====

Least stable of them? <B>.

=====

<A>
A plane-wave DFT calculation with PBE was carried out for a relaxed structure of Tl3Rh.

Cell lengths 5.716, 5.716, 5.716 Å; angles 90.00, 90.00, 90.00 degrees
Positions (direct):
Tl: 0.000 0.250 0.500
Tl: 0.000 0.750 0.500
Tl: 0.250 0.500 0.000
Tl: 0.500 0.000 0.250
Tl: 0.500 0.000 0.750
Tl: 0.750 0.500 0.000
Rh: 0.000 0.000 0.000
Rh: 0.500 0.500 0.500

=====

<B>
A plane-wave DFT calculation with PBE was carried out for a relaxed structure of Tl3Rh.

Cell lengths 5.365, 4.004, 6.096 Å; angles 90.00, 115.77, 90.00 degrees
Positions (direct):
Tl: 0.000 0.000 0.000
Tl: 0.329 0.500 0.659
Tl: 0.671 0.500 0.341
Rh: 0.500 0.000 0.000

=====

<C>
A plane-wave DFT calculation with PBE was carried out for a relaxed structure of Tl3Rh.

Cell lengths 9.957, 9.957, 9.957 Å; angles 19.85, 19.85, 19.85 degrees
Positions (direct):
Tl: 0.000 0.000 0.000
Tl: 0.234 0.234 0.234
Tl: 0.766 0.766 0.766
Rh: 0.500 0.500 0.500

=====

Least stable of them? <A>.